The following is a DFT calculation (GGA-PBE) of crystalline Nd3GdZn12Ge6 at its relaxed geometry.

a = 7.649 Å, b = 4.082 Å, c = 13.253 Å
α = 90.00°, β = 90.00°, γ = 90.00°
Sites, in units of the cell vectors:
1 Nd 0.000 0.000 0.000
2 Nd 0.000 0.000 0.334
3 Nd 0.500 0.000 0.501
4 Gd 0.500 0.000 0.834
5 Zn 0.094 0.000 0.573
6 Zn 0.096 0.000 0.762
7 Zn 0.288 0.500 0.668
8 Zn 0.310 0.000 0.167
9 Zn 0.356 0.500 0.311
10 Zn 0.357 0.500 0.023
11 Zn 0.594 0.000 0.071
12 Zn 0.594 0.000 0.262
13 Zn 0.787 0.500 0.167
14 Zn 0.810 0.000 0.668
15 Zn 0.856 0.500 0.524
16 Zn 0.856 0.500 0.811
17 Ge 0.116 0.500 0.167
18 Ge 0.191 0.500 0.475
19 Ge 0.195 0.500 0.858
20 Ge 0.615 0.500 0.669
21 Ge 0.689 0.500 0.974
22 Ge 0.691 0.500 0.359

## Properties
Electronic total energy, Ry/atom: -0.237
Total magnetic moment, μB per formula unit: 0.00
Space group: Pm


The following is a DFT calculation (GGA-PBE) of crystalline HgPtPb at its relaxed geometry.

a = 4.707 Å, b = 4.707 Å, c = 4.707 Å
α = 60.00°, β = 60.00°, γ = 60.00°
Sites, in units of the cell vectors:
1 Hg 0.000 0.000 0.000
2 Pt 0.250 0.250 0.250
3 Pb 0.500 0.500 0.500

## Properties
Electronic total energy, Ry/atom: -0.255
Total magnetic moment, μB per formula unit: 0.00
Space group: F-43m


The following is a DFT calculation (GGA-PBE) of crystalline ScMo2Ir at its relaxed geometry.

a = 4.494 Å, b = 4.494 Å, c = 4.494 Å
α = 60.00°, β = 60.00°, γ = 60.00°
Sites, in units of the cell vectors:
1 Sc 0.000 0.000 0.000
2 Mo 0.250 0.250 0.250
3 Mo 0.500 0.500 0.500
4 Ir 0.750 0.750 0.750

## Properties
Electronic total energy, Ry/atom: -0.697
Calculated formation energy, eV/atom: -0.260
Total magnetic moment, μB per formula unit: 0.00
Space group: F-43m